A plane-wave DFT calculation with GGA-PBEsol was carried out for crystalline LaCuMo2 at its relaxed geometry.

ΔH_f (0 K) ... 0.697 eV/atom
V ... 18.108 A^3/atom
Distance to the lowest polymorph of the same formula ... 75 kJ/mol of formula units

Unit cell a=3.912 b=3.912 c=4.734 alpha=90.00 beta=90.00 gamma=90.00
Space group P4/mmm (No. 123)
Asymmetric unit:
La 0.000 0.000 0.000
Cu 0.500 0.500 0.000
Mo 0.000 0.500 0.500

---

A plane-wave DFT calculation with GGA-PBEsol was carried out for crystalline LaCuMo2 at its relaxed geometry.

ΔH_f (0 K) ... 0.501 eV/atom
V ... 17.975 A^3/atom
Distance to the lowest polymorph of the same formula ... 0 kJ/mol of formula units

Unit cell a=9.713 b=3.035 c=4.948 alpha=90.00 beta=99.60 gamma=90.00
Space group C2/m (No. 12)
Asymmetric unit:
La 0.000 0.000 0.000
Cu 0.000 0.500 0.500
Mo 0.220 0.000 0.686

---

A plane-wave DFT calculation with GGA-PBEsol was carried out for crystalline LaCuMo at its relaxed geometry.

ΔH_f (0 K) ... 0.704 eV/atom
V ... 18.374 A^3/atom
Distance to the lowest polymorph of the same formula ... 0 kJ/mol of formula units

Unit cell a=2.9123 b=2.9123 c=7.5045 alpha=90.00 beta=90.00 gamma=120.00
Space group P3m1 (No. 156)
Asymmetric unit:
La 0.0000 0.0000 0.0000
Cu 0.6667 0.3333 0.3588
Mo 0.3333 0.6667 0.6279

---

A plane-wave DFT calculation with GGA-PBEsol was carried out for crystalline La4Cu3MoO12 at its relaxed geometry.

Uncorrected formation energy ... -2.36 eV/atom
V ... 14.516 A^3/atom

Unit cell a=6.861 b=10.719 c=7.896 alpha=90.00 beta=90.03 gamma=90.00
Space group P2_1/m (No. 11)
Asymmetric unit:
La 0.238 0.000 0.130
La 0.249 0.005 0.621
Cu 0.114 0.750 0.842
Cu 0.116 0.750 0.411
Cu 0.456 0.250 0.364
Mo 0.421 0.250 0.879
O 0.084 0.582 0.871
O 0.086 0.583 0.379
O 0.264 0.750 0.627
O 0.288 0.250 0.680
O 0.289 0.250 0.080
O 0.313 0.750 0.123
O 0.417 0.083 0.373
O 0.420 0.074 0.878

---

A plane-wave DFT calculation with GGA-PBEsol was carried out for crystalline LaZnCuMo2 at its relaxed geometry.

ΔH_f (0 K) ... 0.944 eV/atom
V ... 19.298 A^3/atom

Unit cell a=4.689 b=4.689 c=4.388 alpha=90.00 beta=90.00 gamma=90.00
Space group P4/mmm (No. 123)
Asymmetric unit:
La 0.000 0.000 0.000
Zn 0.500 0.500 0.000
Cu 0.500 0.500 0.500
Mo 0.000 0.500 0.500

---

A plane-wave DFT calculation with GGA-PBEsol was carried out for crystalline LaCuNO2 at its relaxed geometry.

Uncorrected formation energy ... 0.14 eV/atom
V ... 18.278 A^3/atom

Unit cell a=4.339 b=4.339 c=4.855 alpha=90.00 beta=90.00 gamma=90.00
Space group P4/mmm (No. 123)
Asymmetric unit:
La 0.000 0.000 0.000
Cu 0.500 0.500 0.500
N 0.000 0.000 0.500
O 0.000 0.500 0.000

---

A plane-wave DFT calculation with GGA-PBEsol was carried out for crystalline LaCuSN2 at its relaxed geometry.

Uncorrected formation energy ... 0.49 eV/atom
V ... 17.435 A^3/atom

Unit cell a=3.870 b=3.870 c=5.821 alpha=90.00 beta=90.00 gamma=90.00
Space group P4/mmm (No. 123)
Asymmetric unit:
La 0.000 0.000 0.000
Cu 0.000 0.000 0.500
S 0.500 0.500 0.000
N 0.000 0.500 0.500

---

A plane-wave DFT calculation with GGA-PBEsol was carried out for crystalline NaLa2Cu2 at its relaxed geometry.

ΔH_f (0 K) ... 0.005 eV/atom
V ... 24.785 A^3/atom

Unit cell a=8.087 b=8.087 c=3.790 alpha=90.00 beta=90.00 gamma=90.00
Space group P4/mbm (No. 127)
Asymmetric unit:
Na 0.000 0.000 0.000
La 0.161 0.339 0.500
Cu 0.120 0.620 0.000

---

A plane-wave DFT calculation with GGA-PBEsol was carried out for crystalline La2NbCuPb at its relaxed geometry.

ΔH_f (0 K) ... 0.498 eV/atom
V ... 28.750 A^3/atom

Unit cell a=5.465 b=5.465 c=4.813 alpha=90.00 beta=90.00 gamma=90.00
Space group P4/mmm (No. 123)
Asymmetric unit:
La 0.000 0.500 0.000
Nb 0.000 0.000 0.000
Cu 0.000 0.000 0.500
Pb 0.500 0.500 0.500

---

A plane-wave DFT calculation with GGA-PBEsol was carried out for crystalline SrLaNdCu2O6 at its relaxed geometry.

Uncorrected formation energy ... -2.29 eV/atom
V ... 12.955 A^3/atom

Unit cell a=3.814 b=3.814 c=19.597 alpha=90.00 beta=90.00 gamma=90.00
Space group I4mm (No. 107)
Asymmetric unit:
Sr 0.000 0.000 0.000
La 0.000 0.000 0.640
Nd 0.000 0.000 0.822
Cu 0.000 0.000 0.233
Cu 0.000 0.000 0.411
O 0.000 0.000 0.123
O 0.000 0.000 0.527
O 0.000 0.500 0.240
O 0.000 0.500 0.398

---

A plane-wave DFT calculation with GGA-PBEsol was carried out for crystalline La2Cu5Ni5 at its relaxed geometry.

ΔH_f (0 K) ... -0.238 eV/atom
V ... 14.230 A^3/atom

Unit cell a=3.914 b=5.031 c=8.673 alpha=90.00 beta=90.00 gamma=90.00
Space group Pmmm (No. 47)
Asymmetric unit:
La 0.000 0.000 0.000
La 0.000 0.500 0.500
Cu 0.000 0.000 0.330
Cu 0.000 0.500 0.167
Cu 0.500 0.000 0.500
Ni 0.500 0.251 0.249
Ni 0.500 0.500 0.000

---

A plane-wave DFT calculation with GGA-PBEsol was carried out for crystalline La2CuNi at its relaxed geometry.

ΔH_f (0 K) ... -0.112 eV/atom
V ... 20.956 A^3/atom

Unit cell a=3.511 b=4.403 c=10.842 alpha=90.00 beta=90.00 gamma=90.00
Space group Imm2 (No. 44)
Asymmetric unit:
La 0.000 0.000 0.000
La 0.000 0.500 0.202
Cu 0.000 0.000 0.417
Ni 0.000 0.500 0.758